Entry 1:
A plane-wave DFT calculation with PBE was carried out for crystalline SmGe2Os at its relaxed geometry.

Computed properties:
Energy   -6.7968 eV/atom
D(E_F)   2.24 states/eV/f.u.
Formation enthalpy at 0 K   -0.5009 eV per atom
Space group   Immm

abc: 4.3323 9.1267 9.5205
angles: 118.64 103.15 90.00
Positions (direct):
Sm  0.7099  0.7099  0.4198
Sm  0.5000  0.2568  0.0000
Sm  0.5000  0.7432  0.0000
Sm  0.2901  0.2901  0.5802
Ge  0.9210  0.4210  0.8419
Ge  0.7006  0.3632  0.4012
Ge  0.7006  0.0380  0.4012
Ge  0.2994  0.6368  0.5988
Ge  0.0806  0.0806  0.1613
Ge  0.0790  0.5790  0.1581
Ge  0.9194  0.9194  0.8387
Ge  0.2994  0.9620  0.5988
Os  0.8573  0.6089  0.7145
Os  0.1427  0.3911  0.2855
Os  0.1427  0.8944  0.2855
Os  0.8573  0.1056  0.7145

***

Entry 2:
A plane-wave DFT calculation with PBE was carried out for crystalline SmGeOs at its relaxed geometry.

Computed properties:
Energy   -7.1760 eV/atom
D(E_F)   2.25 states/eV/f.u.
Formation enthalpy at 0 K   -0.3206 eV per atom
Space group   P-6m2

abc: 3.9368 4.3021 4.3021
angles: 120.00 90.00 90.00
Positions (direct):
Ge  0.1666  0.0000  0.0000
Os  0.1669  0.3333  0.6667
Sm  0.6666  0.6667  0.3333

***

Entry 3:
A plane-wave DFT calculation with PBE was carried out for crystalline SmGe4Os2 at its relaxed geometry.

Computed properties:
Energy   -6.8302 eV/atom
D(E_F)   2.55 states/eV/f.u.
Formation enthalpy at 0 K   -0.3090 eV per atom
Space group   Pnma

abc: 4.2381 6.8149 17.1578
angles: 90.00 90.00 90.00
Positions (direct):
Ge  0.2500  0.3192  0.6913
Ge  0.7500  0.6808  0.3087
Ge  0.7500  0.8192  0.8087
Ge  0.2500  0.1808  0.1913
Ge  0.2500  0.7496  0.6906
Ge  0.7500  0.2504  0.3094
Ge  0.7500  0.2496  0.8094
Ge  0.2500  0.7504  0.1906
Ge  0.2500  0.1360  0.5280
Ge  0.7500  0.8640  0.4720
Ge  0.7500  0.6360  0.9720
Ge  0.2500  0.3640  0.0280
Ge  0.2500  0.4856  0.4394
Ge  0.7500  0.5144  0.5606
Ge  0.7500  0.9856  0.0606
Ge  0.2500  0.0144  0.9394
Os  0.2500  0.7575  0.5401
Os  0.7500  0.2425  0.4599
Os  0.7500  0.2575  0.9599
Os  0.2500  0.7425  0.0401
Os  0.2500  0.0306  0.7932
Os  0.7500  0.9694  0.2068
Os  0.7500  0.5306  0.7068
Os  0.2500  0.4694  0.2932
Sm  0.7500  0.0435  0.6431
Sm  0.2500  0.9565  0.3569
Sm  0.2500  0.5435  0.8569
Sm  0.7500  0.4565  0.1431

***

Entry 4:
A plane-wave DFT calculation with PBE was carried out for crystalline Sm2Ge4Os3 at its relaxed geometry.

Computed properties:
Energy   -7.1520 eV/atom
D(E_F)   10.14 states/eV/f.u.
Formation enthalpy at 0 K   -0.3079 eV per atom
Space group   Fmmm

abc: 5.6342 5.6342 6.9115
angles: 101.55 101.55 120.58
Positions (direct):
Sm  0.6318  0.6318  0.2637
Sm  0.3682  0.3682  0.7363
Ge  0.0123  0.6764  0.6887
Ge  0.6764  0.0123  0.6887
Ge  0.9877  0.3236  0.3113
Ge  0.3236  0.9877  0.3113
Os  0.5000  0.0000  0.0000
Os  0.0000  0.0000  0.0000
Os  0.0000  0.5000  0.0000

***

Entry 5:
A plane-wave DFT calculation with PBE was carried out for crystalline Sm8Ge2Os at its relaxed geometry.

Computed properties:
Energy   -5.6191 eV/atom
D(E_F)   9.27 states/eV/f.u.
Formation enthalpy at 0 K   -0.3266 eV per atom
Space group   C2/m

abc: 4.8873 6.7793 9.8626
angles: 103.22 104.35 90.00
Positions (direct):
Sm  0.4093  0.5382  0.8187
Sm  0.6537  0.9957  0.3073
Sm  0.7841  0.6693  0.5681
Sm  0.9768  0.2121  0.9537
Sm  0.2159  0.3307  0.4319
Sm  0.3463  0.0043  0.6927
Sm  0.5907  0.4618  0.1813
Sm  0.0232  0.7879  0.0463
Ge  0.8177  0.2476  0.6354
Ge  0.1823  0.7524  0.3646
Os  0.5000  0.0000  0.0000

***

Entry 6:
A plane-wave DFT calculation with PBE was carried out for crystalline SmGe2Os at its relaxed geometry.

Computed properties:
Energy   -6.7973 eV/atom
D(E_F)   1.57 states/eV/f.u.
Formation enthalpy at 0 K   -0.5014 eV per atom
Space group   C2/c

abc: 5.8110 5.8669 6.1048
angles: 105.55 105.16 116.51
Positions (direct):
Sm  0.1184  0.3684  0.2368
Sm  0.8816  0.6316  0.7632
Ge  0.5224  0.1033  0.2242
Ge  0.7019  0.6209  0.2242
Ge  0.4776  0.8967  0.7758
Ge  0.2981  0.3791  0.7758
Os  0.7854  0.0354  0.5709
Os  0.2146  0.9646  0.4291

***

Entry 7:
A plane-wave DFT calculation with PBE was carried out for crystalline SmGe2Os at its relaxed geometry.

Computed properties:
Energy   -6.7558 eV/atom
D(E_F)   2.04 states/eV/f.u.
Formation enthalpy at 0 K   -0.4598 eV per atom
Space group   R-3m

abc: 4.2307 4.2307 5.5704
angles: 67.68 67.68 60.00
Positions (direct):
Ge  0.7808  0.7808  0.6577
Ge  0.2192  0.2192  0.3423
Os  0.5000  0.5000  0.5000
Sm  0.0000  0.0000  0.0000

***

Entry 8:
A plane-wave DFT calculation with PBE was carried out for crystalline SmGe3Os3 at its relaxed geometry.

Computed properties:
Energy   -7.0386 eV/atom
D(E_F)   2.77 states/eV/f.u.
Formation enthalpy at 0 K   0.4272 eV per atom
Space group   Pm-3n

abc: 6.7351 6.7351 6.7351
angles: 90.00 90.00 90.00
Positions (direct):
Ge  0.0000  0.2500  0.5000
Ge  0.0000  0.7500  0.5000
Ge  0.5000  0.0000  0.7500
Ge  0.7500  0.5000  0.0000
Ge  0.5000  0.0000  0.2500
Ge  0.2500  0.5000  0.0000
Os  0.2500  0.0000  0.5000
Os  0.0000  0.5000  0.2500
Os  0.5000  0.7500  0.0000
Os  0.7500  0.0000  0.5000
Os  0.0000  0.5000  0.7500
Os  0.5000  0.2500  0.0000
Sm  0.5000  0.5000  0.5000
Sm  0.0000  0.0000  0.0000

***

no.,size of the total moment (μB/f.u.)
1,0.00
2,0.00
3,0.00
4,0.00
5,0.00
6,0.00
7,0.00
8,0.00